(1)
The following is a GGA-PBE calculation of crystalline Na3Mg2Sn8 at its relaxed geometry, from Alexandria.

Lattice parameters (Å, degrees): 4.472 8.740 10.405 114.83 90.01 90.00
Element x y z (fractional)
Na (0.000, 0.297, 0.000)
Na (0.500, 0.000, 0.000)
Na (0.000, 0.703, 0.000)
Sn (0.000, 0.648, 0.296)
Sn (0.500, 0.390, 0.268)
Sn (0.500, 0.610, 0.732)
Sn (0.500, 0.878, 0.268)
Sn (0.500, 0.122, 0.732)
Sn (0.000, 0.866, 0.732)
Sn (0.000, 0.134, 0.268)
Sn (0.000, 0.352, 0.704)
Mg (0.500, 0.755, 0.510)
Mg (0.500, 0.245, 0.490)

ΔE_f, eV/atom: -0.058

(2)
The following is a GGA-PBE calculation of crystalline Tm4Hg2Pt at its relaxed geometry, from Alexandria.

Lattice parameters (Å, degrees): 4.013 7.837 12.441 90.00 90.00 90.00
Element x y z (fractional)
Tm (0.500, 0.270, 0.947)
Tm (0.000, 0.629, 0.797)
Tm (0.000, 0.871, 0.297)
Tm (0.500, 0.770, 0.553)
Tm (0.500, 0.730, 0.053)
Tm (0.000, 0.129, 0.703)
Tm (0.500, 0.230, 0.447)
Tm (0.000, 0.371, 0.203)
Pt (0.000, 0.500, 0.000)
Pt (0.000, 0.000, 0.500)
Hg (0.500, 0.917, 0.831)
Hg (0.500, 0.417, 0.669)
Hg (0.500, 0.583, 0.331)
Hg (0.500, 0.083, 0.169)

ΔE_f, eV/atom: -0.552
Polymorph energy (0 for the lowest one), kcal/mol of atoms: 0.11

(3)
The following is a GGA-PBE calculation of crystalline YZr4Cr at its relaxed geometry, from Alexandria.

Lattice parameters (Å, degrees): 5.920 5.920 5.920 60.00 60.00 60.00
Each line ends with the local moment (μB).
Element x y z (fractional)
Cr (0.750, 0.750, 0.750)  3.68
Zr (0.374, 0.374, 0.374)  -0.04
Zr (0.374, 0.374, 0.878)  -0.04
Zr (0.878, 0.374, 0.374)  -0.04
Zr (0.374, 0.878, 0.374)  -0.04
Y (0.000, 0.000, 0.000)  -0.02

ΔE_f, eV/atom: 0.464

(4)
The following is a GGA-PBE calculation of crystalline Na3AsH6 at its relaxed geometry, from Alexandria.

Lattice parameters (Å, degrees): 6.482 6.978 6.978 102.61 90.00 90.00
Element x y z (fractional)
H (0.056, 0.787, 0.213)
H (0.294, 0.691, 0.671)
H (0.453, 0.629, 0.119)
H (0.794, 0.671, 0.691)
H (0.953, 0.371, 0.881)
H (0.251, 0.201, 0.799)
H (0.794, 0.309, 0.329)
H (0.556, 0.213, 0.787)
H (0.453, 0.881, 0.371)
H (0.953, 0.119, 0.629)
H (0.751, 0.799, 0.201)
H (0.294, 0.329, 0.309)
Na (0.549, 0.419, 0.581)
Na (0.056, 0.105, 0.293)
Na (0.556, 0.895, 0.707)
Na (0.056, 0.707, 0.895)
Na (0.556, 0.293, 0.105)
Na (0.049, 0.581, 0.419)
As (0.022, 0.156, 0.844)
As (0.522, 0.844, 0.156)

Total energy, eV per atom: -2.887

(5)
The following is a GGA-PBE calculation of crystalline P3Ir2Au at its relaxed geometry, from Alexandria.

Lattice parameters (Å, degrees): 3.722 4.912 5.921 78.63 89.77 89.31
Element x y z (fractional)
P (0.809, 0.416, 0.394)
P (0.806, 0.986, 0.355)
P (0.317, 0.760, 0.823)
Ir (0.816, 0.755, 0.050)
Ir (0.310, 0.697, 0.445)
Au (0.052, 0.273, 0.826)

ΔE_f, eV/atom: -0.244
Polymorph energy (0 for the lowest one), kcal/mol of atoms: 0.46

One value per record, in order, for magnetic moment: 0.000; 0.000; 4.133; 0.000; 0.000 μB per formula unit.